Cd3NiPd3O8: relaxed, PBE+U.

Its density of states at the Fermi level is 0.724 states/eV/atom. For the total energy, the calculation gives -139.22 eV for the cell shown.

It has space group C2/m (No. 12), with a = 12.110 Å, b = 5.916 Å, c = 6.410 Å, α = 90.00°, β = 117.22° and γ = 90.00°. Symmetry generates all atoms from Cd at (0.000, 0.000, 0.000), Cd at (0.250, 0.250, 0.500), Ni at (0.000, 0.000, 0.500), Pd at (0.000, 0.500, 0.500), Pd at (0.250, 0.250, 0.000), O at (0.043, 0.234, 0.344), O at (0.199, 0.000, 0.752) and O at (0.207, 0.000, 0.175).